This record from the Alexandria database describes V2CdTeO8 after structural relaxation. The functional is GGA+U.

It has space group P-3m1 (No. 164), with a = 5.7878 Å, b = 5.7878 Å, c = 6.4213 Å, α = 90.00°, β = 90.00° and γ = 120.00°. The inequivalent atoms are V at (0.3333, 0.6667, 0.3008), Cd at (0.0000, 0.0000, 0.5000), Te at (0.0000, 0.0000, 0.0000), O at (0.1607, 0.3215, 0.2227) and O at (0.3333, 0.6667, 0.5550).

Its density of states at the Fermi level is 0.000 states/eV/cell. The total energy comes out at -6.32 eV/atom.